[1]
# CaAs2HF13

A geometry-optimized CaAs2HF13 structure (GGA-PBE, Alexandria).

Unit cell a=9.6163 b=9.7035 c=10.7054 alpha=76.74 beta=90.00 gamma=90.00
Last column: magnetic moment on the atom in μB.
Atoms (fractional coordinates):
F: 0.7455 0.3968 0.3192  0.00
H: 0.9658 0.3237 0.0918  0.00
F: 0.9712 0.5424 0.8323  0.00
F: 0.2093 0.8963 0.2770  0.00
H: 0.5342 0.3237 0.5918  0.00
F: 0.2682 0.5327 0.9236  0.00
F: 0.9418 0.1409 0.3139  0.03
F: 0.4712 0.4576 0.6677  0.00
H: 0.0342 0.6763 0.9082  0.00
F: 0.4562 0.1146 0.0692  0.00
F: 0.7439 0.0451 0.9603  0.02
F: 0.0288 0.4576 0.1677  0.00
F: 0.5176 0.6115 0.0889  0.00
F: 0.9660 0.3566 0.6990  0.00
F: 0.0910 0.0540 0.8073  0.06
F: 0.0438 0.1146 0.5692  0.00
As: 0.1672 0.0092 0.6750  0.00
F: 0.2545 0.6032 0.6808  0.00
F: 0.7093 0.1037 0.2230  0.00
F: 0.2561 0.9549 0.0397  0.02
Ca: 0.8341 0.2517 0.5196  0.00
F: 0.5288 0.5424 0.3323  0.00
F: 0.7631 0.6540 0.7025  0.01
F: 0.9562 0.8854 0.4308  0.00
F: 0.9169 0.2676 0.0434  0.00
As: 0.8328 0.9908 0.3250  0.00
F: 0.4824 0.3885 0.9111  0.00
F: 0.7682 0.4673 0.5764  0.00
F: 0.0340 0.6434 0.3010  0.00
F: 0.7545 0.3968 0.8192  0.00
F: 0.4660 0.6434 0.8010  0.00
F: 0.5340 0.3566 0.1990  0.00
F: 0.5582 0.1409 0.8139  0.03
F: 0.0176 0.3885 0.4111  0.00
F: 0.7318 0.4673 0.0764  0.00
F: 0.4418 0.8591 0.1861  0.03
F: 0.4169 0.7324 0.4566  0.00
Ca: 0.6659 0.2517 0.0196  0.00
F: 0.5438 0.8854 0.9308  0.00
F: 0.5831 0.2676 0.5434  0.00
F: 0.2455 0.6032 0.1808  0.00
F: 0.7369 0.6540 0.2025  0.01
F: 0.9824 0.6115 0.5889  0.00
As: 0.6327 0.5088 0.2061  0.00
F: 0.2907 0.8963 0.7770  0.00
F: 0.2318 0.5327 0.4236  0.00
F: 0.7158 0.8505 0.3501  0.07
F: 0.2842 0.1495 0.6499  0.07
H: 0.4658 0.6763 0.4082  0.00
F: 0.9090 0.9460 0.1927  0.06
F: 0.5910 0.9460 0.6927  0.06
F: 0.4090 0.0540 0.3073  0.06
Ca: 0.3341 0.7483 0.9804  0.00
F: 0.0582 0.8591 0.6861  0.03
F: 0.7907 0.1037 0.7230  0.00
As: 0.3673 0.4912 0.7939  0.00
As: 0.6672 0.9908 0.8250  0.00
F: 0.2439 0.9549 0.5397  0.02
F: 0.2369 0.3460 0.2975  0.01
As: 0.1327 0.4912 0.2939  0.00
As: 0.8673 0.5088 0.7061  0.00
As: 0.3328 0.0092 0.1750  0.00
F: 0.7561 0.0451 0.4603  0.02
F: 0.0831 0.7324 0.9566  0.00
F: 0.2158 0.1495 0.1499  0.07
F: 0.7842 0.8505 0.8501  0.07
Ca: 0.1659 0.7483 0.4804  0.00
F: 0.2631 0.3460 0.7975  0.01

DFT total energy in eV/atom: -4.674
SG: P2_1/c
Density of states at the Fermi level in states/eV per atom: 0.00

=====

[2]
# Li2CaAsF

A geometry-optimized Li2CaAsF structure (GGA-PBE, Alexandria).

Unit cell a=4.2072 b=4.2072 c=4.6665 alpha=90.00 beta=90.00 gamma=90.00
Atoms (fractional coordinates):
Li: 0.0000 0.5000 0.0000
F: 0.0000 0.0000 0.0000
Ca: 0.0000 0.0000 0.5000
As: 0.5000 0.5000 0.5000
Li: 0.5000 0.0000 0.0000

SG: P4/mmm
Raw formation energy in eV per atom: -1.676

=====

[3]
# CaMgAsF2

A geometry-optimized CaMgAsF2 structure (GGA-PBE, Alexandria).

Unit cell a=4.5787 b=5.2414 c=4.5787 alpha=90.00 beta=90.00 gamma=90.00
Atoms (fractional coordinates):
Ca: 0.5000 0.5000 0.5000
Mg: 0.0000 0.5000 0.0000
F: 0.0000 0.0000 0.5000
F: 0.5000 0.0000 0.0000
As: 0.0000 0.0000 0.0000

SG: P4/mmm
Raw formation energy in eV per atom: -0.942
Density of states at the Fermi level in states/eV per atom: 0.37

=====

[4]
# CaAsN2F

A geometry-optimized CaAsN2F structure (GGA-PBE, Alexandria).

Unit cell a=3.8293 b=3.8293 c=4.2349 alpha=90.00 beta=90.00 gamma=90.00
Atoms (fractional coordinates):
N: 0.0000 0.5000 0.0000
Ca: 0.5000 0.5000 0.5000
N: 0.5000 0.0000 0.0000
As: 0.0000 0.0000 0.0000
F: 0.0000 0.0000 0.5000

SG: P4/mmm
Raw formation energy in eV per atom: -0.498
Polymorph energy (0 for the lowest one) in eV per atom: 0.000
Density of states at the Fermi level in states/eV per atom: 0.12

=====

[5]
# CaAsN2F

A geometry-optimized CaAsN2F structure (GGA-PBE, Alexandria).

Unit cell a=4.6797 b=4.6797 c=4.1456 alpha=90.00 beta=90.00 gamma=90.00
Last column: magnetic moment on the atom in μB.
Atoms (fractional coordinates):
N: 0.5000 0.0000 0.0000  1.20
F: 0.0000 0.0000 0.5000  -0.02
N: 0.0000 0.5000 0.0000  1.20
As: 0.5000 0.5000 0.5000  -0.76
Ca: 0.0000 0.0000 0.0000  0.04

SG: P4/mmm
Raw formation energy in eV per atom: 0.639
Polymorph energy (0 for the lowest one) in eV per atom: 1.137
Density of states at the Fermi level in states/eV per atom: 0.30

=====

[6]
# NaCaAs2F

A geometry-optimized NaCaAs2F structure (GGA-PBE, Alexandria).

Unit cell a=4.7814 b=6.1192 c=4.7814 alpha=90.00 beta=90.00 gamma=90.00
Atoms (fractional coordinates):
Na: 0.0000 0.0000 0.0000
Ca: 0.0000 0.5000 0.0000
F: 0.5000 0.5000 0.5000
As: 0.0000 0.0000 0.5000
As: 0.5000 0.0000 0.0000

SG: P4/mmm
Raw formation energy in eV per atom: 0.027
Density of states at the Fermi level in states/eV per atom: 0.65

=====

[7]
# Na2CaAsF

A geometry-optimized Na2CaAsF structure (GGA-PBE, Alexandria).

Unit cell a=4.4840 b=4.4840 c=4.8972 alpha=90.00 beta=90.00 gamma=90.00
Atoms (fractional coordinates):
F: 0.0000 0.0000 0.0000
Na: 0.5000 0.0000 0.0000
Ca: 0.0000 0.0000 0.5000
As: 0.5000 0.5000 0.5000
Na: 0.0000 0.5000 0.0000

SG: P4/mmm
Raw formation energy in eV per atom: -1.559

=====

[8]
# Ca5As3O12F

A geometry-optimized Ca5As3O12F structure (GGA-PBE, Alexandria).

Unit cell a=9.7475 b=9.8351 c=7.0435 alpha=91.65 beta=89.12 gamma=119.60
Atoms (fractional coordinates):
O: 0.0975 0.3715 0.4510
O: 0.3668 0.2625 0.9615
O: 0.6858 0.5058 0.2227
O: 0.1750 0.6843 0.7548
Ca: 0.3542 0.6957 0.9965
O: 0.4847 0.1743 0.2789
O: 0.9025 0.6285 0.5490
Ca: 0.7670 0.0000 0.2364
O: 0.7673 0.0979 0.5513
As: 0.9745 0.6036 0.7600
As: 0.6280 0.0258 0.7288
O: 0.6332 0.7375 0.0385
F: 0.0139 0.0046 0.2443
O: 0.2686 0.9123 0.0612
O: 0.1267 0.5965 0.2101
Ca: 0.9979 0.7581 0.2534
O: 0.5153 0.8257 0.7211
O: 0.8733 0.4035 0.7899
O: 0.5217 0.1239 0.7218
O: 0.7155 0.7702 0.4085
O: 0.3142 0.4942 0.7773
F: 0.9861 0.9954 0.7557
O: 0.4783 0.8761 0.2782
As: 0.3907 0.3705 0.7619
Ca: 0.6458 0.3043 0.0035
As: 0.3720 0.9742 0.2712
O: 0.2327 0.9021 0.4487
O: 0.4092 0.5307 0.2837
O: 0.2845 0.2298 0.5915
O: 0.7314 0.0877 0.9388
O: 0.5908 0.4693 0.7163
Ca: 0.7529 0.7526 0.7357
O: 0.9252 0.7020 0.9278
As: 0.0255 0.3964 0.2400
Ca: 0.2471 0.2474 0.2643
Ca: 0.2330 0.0000 0.7636
As: 0.6093 0.6295 0.2381
O: 0.8250 0.3157 0.2452
Ca: 0.0021 0.2419 0.7466
O: 0.0748 0.2980 0.0722
Ca: 0.3136 0.6522 0.5029
Ca: 0.6864 0.3478 0.4971

SG: P-1
Raw formation energy in eV per atom: -2.415
Density of states at the Fermi level in states/eV per atom: 0.00